1.
# VAuSe2 | the Alexandria database | PBE | relaxed
data_VAuSe2
_symmetry_space_group_name_H-M 'P 1'
_symmetry_Int_Tables_number 1
_symmetry_space_group_name_Hall 'P 1'
_cell_length_a 5.8114
_cell_length_b 5.8114
_cell_length_c 7.1712
_cell_angle_alpha 66.10
_cell_angle_beta 66.10
_cell_angle_gamma 90.00
loop_
_atom_site_label
_atom_site_fract_x
_atom_site_fract_y
_atom_site_fract_z
Se1 0.8750 0.8466 0.7500
Se2 0.5966 0.1250 0.2500
Se3 0.3750 0.4034 0.7500
Se4 0.1534 0.6250 0.2500
V1 0.2500 0.7500 0.5000
V2 0.5000 0.5000 0.0000
Au1 0.0000 0.0000 0.0000
Au2 0.7500 0.2500 0.5000
# SG	I-42d
# E_tot	-5.077	eV per atom
# energy relative to the elements, uncorrected	-0.236	eV per atom

2.
# TmHgPd4 | the Alexandria database | PBE | relaxed
data_TmHgPd4
_symmetry_space_group_name_H-M 'P 1'
_symmetry_Int_Tables_number 1
_symmetry_space_group_name_Hall 'P 1'
_cell_length_a 3.9555
_cell_length_b 5.1118
_cell_length_c 6.5551
_cell_angle_alpha 104.71
_cell_angle_beta 72.44
_cell_angle_gamma 67.24
loop_
_atom_site_label
_atom_site_fract_x
_atom_site_fract_y
_atom_site_fract_z
Pd1 0.6619 0.0054 0.6707
Pd2 0.3381 0.9946 0.3293
Pd3 0.1641 0.5026 0.1693
Pd4 0.8359 0.4974 0.8307
Hg1 0.0000 0.0000 0.0000
Tm1 0.5000 0.5000 0.5000
# SG	C2/m
# E_tot	-4.828	eV per atom
# formation energy	-571	meV per atom

3.
# Nd4PRhCl2 | the Alexandria database | PBE | relaxed
data_Nd4PRhCl2
_symmetry_space_group_name_H-M 'P 1'
_symmetry_Int_Tables_number 1
_symmetry_space_group_name_Hall 'P 1'
_cell_length_a 4.0346
_cell_length_b 7.3872
_cell_length_c 7.4529
_cell_angle_alpha 72.61
_cell_angle_beta 90.00
_cell_angle_gamma 90.00
loop_
_atom_site_label
_atom_site_fract_x
_atom_site_fract_y
_atom_site_fract_z
Cl1 0.0000 0.0000 0.0000
Cl2 0.5000 0.0000 0.5000
Nd1 0.5000 0.7178 0.2626
Nd2 0.0000 0.7120 0.7707
Nd3 0.5000 0.2822 0.7374
Nd4 0.0000 0.2880 0.2293
Rh1 0.5000 0.5000 0.0000
P1 0.0000 0.5000 0.5000
# SG	P2/m
# E_tot	-5.763	eV per atom
# energy relative to the elements, uncorrected	-1.322	eV per atom

4.
# Nd2SmHo3Tm6 | the Alexandria database | PBE | relaxed
data_Nd2SmHo3Tm6
_symmetry_space_group_name_H-M 'P 1'
_symmetry_Int_Tables_number 1
_symmetry_space_group_name_Hall 'P 1'
_cell_length_a 6.1392
_cell_length_b 6.1392
_cell_length_c 11.6752
_cell_angle_alpha 95.02
_cell_angle_beta 95.02
_cell_angle_gamma 119.96
loop_
_atom_site_label
_atom_site_fract_x
_atom_site_fract_y
_atom_site_fract_z
Tm1 0.5815 0.9147 0.7466
Tm2 0.4185 0.0853 0.2534
Tm3 0.7523 0.7523 0.2535
Tm4 0.0853 0.4185 0.2534
Tm5 0.2477 0.2477 0.7465
Tm6 0.9147 0.5815 0.7466
Sm1 0.0000 0.0000 0.0000
Ho1 0.5000 0.5000 0.5000
Ho2 0.1666 0.8334 0.5000
Ho3 0.8334 0.1666 0.5000
Nd1 0.6666 0.3334 0.0000
Nd2 0.3334 0.6666 0.0000
# SG	C2/m
# E_tot	-4.545	eV per atom
# formation energy	23	meV per atom

5.
# PuGe3Pd5 | the Alexandria database | PBE | relaxed
data_PuGe3Pd5
_symmetry_space_group_name_H-M 'P 1'
_symmetry_Int_Tables_number 1
_symmetry_space_group_name_Hall 'P 1'
_cell_length_a 3.8453
_cell_length_b 6.8984
_cell_length_c 12.8859
_cell_angle_alpha 90.00
_cell_angle_beta 90.00
_cell_angle_gamma 106.18
loop_
_atom_site_label
_atom_site_fract_x
_atom_site_fract_y
_atom_site_fract_z
Ge1 0.6190 0.2380 0.4532
Ge2 0.3810 0.7620 0.9532
Ge3 0.8740 0.7480 0.2500
Ge4 0.1260 0.2520 0.7500
Ge5 0.3810 0.7620 0.5468
Ge6 0.6190 0.2380 0.0468
Pd1 0.4482 0.8964 0.3547
Pd2 0.2009 0.4017 0.9298
Pd3 0.0000 0.0000 0.0000
Pd4 0.0000 0.0000 0.5000
Pd5 0.4482 0.8964 0.1453
Pd6 0.2009 0.4017 0.5702
Pd7 0.5518 0.1036 0.6453
Pd8 0.7991 0.5983 0.0703
Pd9 0.5518 0.1036 0.8547
Pd10 0.7991 0.5983 0.4297
Pu1 0.1333 0.2666 0.2500
Pu2 0.8667 0.7334 0.7500
# SG	Cmcm
# E_tot	-6.513	eV per atom
# formation energy	-497	meV per atom

6.
# HoLu5 | the Alexandria database | PBE | relaxed
data_HoLu5
_symmetry_space_group_name_H-M 'P 1'
_symmetry_Int_Tables_number 1
_symmetry_space_group_name_Hall 'P 1'
_cell_length_a 3.6743
_cell_length_b 5.5756
_cell_length_c 9.1742
_cell_angle_alpha 107.69
_cell_angle_beta 90.00
_cell_angle_gamma 90.00
loop_
_atom_site_label
_atom_site_fract_x
_atom_site_fract_y
_atom_site_fract_z
Lu1 0.5000 0.1816 0.3631
Lu2 0.5000 0.5000 0.0000
Lu3 0.0000 0.6533 0.3066
Lu4 0.5000 0.8184 0.6369
Lu5 0.0000 0.3467 0.6934
Ho1 0.0000 0.0000 0.0000
# SG	Cmmm
# E_tot	-4.413	eV per atom
# formation energy	118	meV per atom

7.
# SrTa2Mo | the Alexandria database | PBE | relaxed
data_SrTa2Mo
_symmetry_space_group_name_H-M 'P 1'
_symmetry_Int_Tables_number 1
_symmetry_space_group_name_Hall 'P 1'
_cell_length_a 5.8323
_cell_length_b 5.8323
_cell_length_c 2.7671
_cell_angle_alpha 90.00
_cell_angle_beta 90.00
_cell_angle_gamma 119.38
loop_
_atom_site_label
_atom_site_fract_x
_atom_site_fract_y
_atom_site_fract_z
Sr1 0.0000 0.5000 0.5000
Mo1 0.5000 0.0000 0.5000
Ta1 0.5000 0.5000 0.0000
Ta2 0.0000 0.0000 0.0000
# SG	Cmmm
# E_tot	-8.017	eV per atom
# distance to the lowest polymorph of the same formula	2.12	eV per formula unit
# formation energy	1037	meV per atom

8.
# BaHf2S4 | the Alexandria database | PBE | relaxed
data_BaHf2S4
_symmetry_space_group_name_H-M 'P 1'
_symmetry_Int_Tables_number 1
_symmetry_space_group_name_Hall 'P 1'
_cell_length_a 3.9000
_cell_length_b 6.4906
_cell_length_c 12.9285
_cell_angle_alpha 90.00
_cell_angle_beta 90.00
_cell_angle_gamma 107.48
loop_
_atom_site_label
_atom_site_fract_x
_atom_site_fract_y
_atom_site_fract_z
S1 0.0786 0.1571 0.2500
S2 0.7602 0.5204 0.3965
S3 0.2398 0.4796 0.6035
S4 0.7602 0.5204 0.1035
S5 0.5000 0.0000 0.0000
S6 0.9214 0.8429 0.7500
S7 0.2398 0.4796 0.8965
S8 0.5000 0.0000 0.5000
Ba1 0.3844 0.7689 0.2500
Ba2 0.6156 0.2311 0.7500
Hf1 0.8791 0.7582 0.9402
Hf2 0.8791 0.7582 0.5598
Hf3 0.1209 0.2418 0.0598
Hf4 0.1209 0.2418 0.4402
# SG	Cmcm
# E_tot	-7.122	eV per atom
# energy relative to the elements, uncorrected	-1.645	eV per atom